Entry 1:
The following is a DFT calculation (GGA-PBE) of a relaxed structure of Li2La3Zn2Au4.

Structure (extended XYZ):
```
11
Lattice="4.645 0.000 0.000 -2.322 4.022 0.000 0.000 0.000 14.181" Properties=species:S:1:pos:R:3 pbc="T T T"
Au 0.000 2.682 5.299
Au 2.322 1.341 1.860
Au 2.322 1.341 8.882
Au 0.000 2.682 12.321
Zn 2.322 1.341 12.269
Zn 0.000 2.682 1.912
Li 2.322 1.341 6.248
Li 0.000 2.682 7.933
La 0.000 0.000 10.479
La 0.000 0.000 0.000
La 0.000 0.000 3.702
```

Results
Uncorrected energy = -40.8 eV per cell
Symmetry = P-3m1 (164)
Energy of formation = -0.60 eV per atom
Crystal system = trigonal


Entry 2:
The following is a DFT calculation (GGA-PBE) of a relaxed structure of NaSmI2O8.

Structure (extended XYZ):
```
12
Lattice="-3.122 -0.833 4.326 -2.578 -3.954 -2.622 6.756 -1.521 1.213" Properties=species:S:1:pos:R:3 pbc="T T T"
O -3.314 -4.193 1.228
O 0.929 -4.104 1.597
O 3.613 -3.652 0.210
O -1.039 -1.944 1.188
O 2.853 -2.829 3.208
O 1.225 -2.160 -0.672
O 1.648 -5.017 -1.495
O -1.145 -4.458 -0.545
I 0.664 -3.935 -0.279
I -2.850 -2.394 0.852
Na 0.000 0.000 0.000
Sm 0.392 -2.374 3.195
```

Results
Uncorrected energy = -61.2 eV per cell
Symmetry = I-4 (82)
Crystal system = tetragonal


Entry 3:
The following is a DFT calculation (GGA-PBE) of a relaxed structure of Ti2MoPb.

Structure (extended XYZ):
```
4
Lattice="-2.497 -0.309 -2.491 -2.784 -1.804 3.015 -1.532 4.085 1.029" Properties=species:S:1:pos:R:3 pbc="T T T"
Mo -1.248 -0.154 -1.245
Ti -1.392 -0.902 1.507
Ti -0.766 2.043 0.515
Pb -3.406 0.986 0.777
```

Results
Uncorrected energy = -30.4 eV per cell
Symmetry = P4/mmm (123)
Energy of formation = -0.01 eV per atom
Crystal system = tetragonal


Entry 4:
The following is a DFT calculation (GGA-PBE) of a relaxed structure of PuPdPbSe3.

Structure (extended XYZ):
```
12
Lattice="-4.141 0.322 0.301 -0.894 -6.787 -5.021 0.334 -3.546 8.379" Properties=species:S:1:pos:R:3 pbc="T T T"
Pd -0.947 -2.596 4.149
Pd -3.754 -7.415 -0.489
Se -3.858 -6.344 -3.071
Se -3.166 -3.353 3.251
Se -3.443 -3.262 -0.653
Se -1.259 -6.749 4.313
Se -0.843 -3.666 6.730
Se -1.536 -6.658 0.408
Pu -3.122 -4.935 5.544
Pu -1.579 -5.076 -1.885
Pb -3.596 -8.096 2.409
Pb -1.105 -1.915 1.250
```

Results
Uncorrected energy = -77.4 eV per cell
Symmetry = P2_1/m (11)
Crystal system = monoclinic


Entry 5:
The following is a DFT calculation (GGA-PBE) of a relaxed structure of KAlHg4.

Structure (extended XYZ):
```
6
Lattice="4.061 -2.472 3.980 -2.023 -3.281 4.856 0.839 -6.141 0.159" Properties=species:S:1:pos:R:3 pbc="T T T"
Hg 1.499 -7.536 3.449
Hg 1.078 -4.455 3.369
Hg 3.115 -5.695 5.366
Hg 0.062 -6.101 5.806
Al 0.000 0.000 0.000
K 2.158 -8.920 6.747
```

Results
Uncorrected energy = -5.5 eV per cell
Symmetry = F-43m (216)
Energy of formation = 0.08 eV per atom
Crystal system = cubic


Entry 6:
The following is a DFT calculation (GGA-PBE) of a relaxed structure of CaAc5Tl3.

Structure (extended XYZ):
```
18
Lattice="7.393 0.000 0.000 0.000 10.193 0.000 0.000 -5.097 8.825" Properties=species:S:1:pos:R:3 pbc="T T T"
Ac 1.848 6.797 0.000
Ac 1.848 1.699 2.943
Ac 3.696 0.000 5.885
Ac 5.545 3.397 0.000
Ac 3.696 5.097 2.940
Ac 5.545 -1.699 2.943
Ac 0.000 0.000 5.885
Ac 5.545 3.398 5.882
Ac 1.848 6.795 5.882
Ac 0.000 5.097 2.940
Tl 5.545 6.769 5.928
Tl 5.545 1.672 2.897
Tl 1.848 3.345 0.000
Tl 1.848 -1.672 2.897
Tl 1.848 3.424 5.928
Tl 5.545 6.848 0.000
Ca 3.696 0.000 0.000
Ca 0.000 0.000 0.000
```

Results
Uncorrected energy = -63.7 eV per cell
Symmetry = P6_3/mcm (193)
Energy of formation = -0.24 eV per atom
Crystal system = hexagonal


Entry 7:
The following is a DFT calculation (GGA-PBE) of a relaxed structure of AcMgAlGa.

Structure (extended XYZ):
```
4
Lattice="-0.664 4.038 3.256 -4.007 3.288 -0.695 -3.993 0.007 3.377" Properties=species:S:1:pos:R:3 pbc="T T T"
Ac -4.332 3.666 2.969
Ga -2.166 1.833 1.485
Al -6.497 5.500 4.454
Mg 0.000 0.000 0.000
```

Results
Uncorrected energy = -13.3 eV per cell
Symmetry = F-43m (216)
Energy of formation = -0.21 eV per atom
Crystal system = cubic


Entry 8:
The following is a DFT calculation (GGA-PBE) of a relaxed structure of RbTi2Fe.

Structure (extended XYZ):
```
4
Lattice="0.000 3.309 3.309 3.309 0.000 3.309 3.309 3.309 0.000" Properties=species:S:1:pos:R:3 pbc="T T T"
Ti 4.964 4.964 4.964
Ti 1.655 1.655 1.655
Fe 0.000 0.000 0.000
Rb 3.309 3.309 3.309
```

Results
Uncorrected energy = -19.9 eV per cell
Symmetry = Fm-3m (225)
Energy of formation = 1.34 eV per atom
Energy relative to the lowest polymorph listed for this composition = 283 meV per atom
Crystal system = cubic


Entry 9:
The following is a DFT calculation (GGA-PBE) of a relaxed structure of CsRb2Cl2.

Structure (extended XYZ):
```
5
Lattice="6.132 0.000 0.000 0.000 6.132 0.000 3.066 3.066 7.643" Properties=species:S:1:pos:R:3 pbc="T T T"
Rb 3.066 3.066 2.805
Rb 6.132 6.132 4.838
Cl 3.066 6.132 3.822
Cl 6.132 3.066 3.822
Cs 0.000 0.000 0.000
```

Results
Uncorrected energy = -13.5 eV per cell
Symmetry = I4/mmm (139)
Energy relative to the lowest polymorph listed for this composition = 0 meV per atom
Crystal system = tetragonal


Entry 10:
The following is a DFT calculation (GGA-PBE) of a relaxed structure of RbRuRh.

Structure (extended XYZ):
```
6
Lattice="4.077 -2.354 0.000 0.000 4.708 0.000 0.000 0.000 8.081" Properties=species:S:1:pos:R:3 pbc="T T T"
Rb 2.718 0.000 4.040
Rb 2.718 0.000 0.000
Ru 1.359 2.354 1.164
Ru 1.359 2.354 6.917
Rh 0.000 0.000 1.283
Rh 0.000 0.000 6.798
```

Results
Uncorrected energy = -28.5 eV per cell
Symmetry = P-6m2 (187)
Energy of formation = 1.12 eV per atom
Energy relative to the lowest polymorph listed for this composition = 632 meV per atom
Crystal system = hexagonal


Entry 11:
The following is a DFT calculation (GGA-PBE) of a relaxed structure of Ca2LaZn2.

Structure (extended XYZ):
```
10
Lattice="-6.107 -3.180 3.260 0.199 -5.634 -5.123 3.008 -2.659 3.041" Properties=species:S:1:pos:R:3 pbc="T T T"
Zn -0.634 -2.532 -1.587
Zn -2.167 -6.199 -3.277
Zn -3.741 -2.615 1.413
Zn -5.274 -6.283 -0.277
La 0.000 0.000 0.000
La -2.954 -4.407 -0.932
Ca 0.590 -5.659 -1.361
Ca -3.490 -5.814 2.538
Ca -2.433 -8.132 -0.534
Ca -0.468 -3.341 1.712
```

Results
Uncorrected energy = -24.7 eV per cell
Symmetry = P4/mbm (127)
Energy of formation = -0.18 eV per atom
Energy relative to the lowest polymorph listed for this composition = 4 meV per atom
Crystal system = tetragonal


Entry 12:
The following is a DFT calculation (GGA-PBE) of a relaxed structure of CdRe3Pd.

Structure (extended XYZ):
```
5
Lattice="4.728 0.000 0.000 0.000 4.728 0.000 0.000 0.000 4.728" Properties=species:S:1:pos:R:3 pbc="T T T"
Re 0.000 2.364 0.000
Re 0.000 0.000 2.364
Re 2.364 0.000 0.000
Cd 2.364 2.364 2.364
Pd 0.000 0.000 0.000
```

Results
Uncorrected energy = -30.9 eV per cell
Symmetry = Pm-3m (221)
Energy of formation = 2.50 eV per atom
Energy relative to the lowest polymorph listed for this composition = 0 meV per atom
Crystal system = cubic